(1)
{
  "formula": "DyTmGa",
  "functional": "PBE",
  "state": "optimized geometry",
  "lattice": [[5.127, 0.001, 0.000], [-2.562, 4.441, 0.000], [0.000, 0.000, 6.566]],
  "species": ["Tm", "Tm", "Dy", "Dy", "Ga", "Ga"],
  "frac_coords": [[0.333, 0.167, 0.250], [0.667, 0.833, 0.750], [0.000, 0.500, 0.500], [0.000, 0.500, 0.000], [0.333, 0.167, 0.750], [0.667, 0.833, 0.250]],
  "final_energy_ev_per_fu": -13.3,
  "vol_a3_per_fu": 74.7
}

***

(2)
{
  "formula": "DyTm3Ga2",
  "functional": "PBE",
  "state": "optimized geometry",
  "lattice": [[-1.242, -0.417, 4.683], [-5.151, -3.698, -1.695], [5.286, -7.692, 0.717]],
  "species": ["Ga", "Ga", "Ga", "Ga", "Tm", "Tm", "Tm", "Tm", "Tm", "Tm", "Dy", "Dy"],
  "frac_coords": [[0.500, 0.212, 0.137], [0.000, 0.787, 0.362], [0.500, 0.712, 0.863], [0.000, 0.287, 0.638], [0.500, 0.669, 0.180], [0.500, 0.169, 0.820], [0.000, 0.331, 0.315], [0.000, 0.963, 0.051], [0.000, 0.831, 0.685], [0.000, 0.463, 0.949], [0.500, 0.538, 0.549], [0.500, 0.038, 0.451]],
  "final_energy_ev_per_fu": -26.7,
  "vol_a3_per_fu": 149.4
}

***

(3)
{
  "formula": "Dy3TmGa2",
  "functional": "PBE",
  "state": "optimized geometry",
  "lattice": [[-2.930, 2.862, -2.904], [-4.153, -8.036, 0.611], [-0.197, 6.193, 6.303]],
  "species": ["Dy", "Dy", "Dy", "Dy", "Dy", "Dy", "Ga", "Ga", "Ga", "Ga", "Tm", "Tm"],
  "frac_coords": [[0.313, 0.625, 0.621], [0.687, 0.375, 0.379], [0.377, 0.754, 0.266], [0.061, 0.121, 0.404], [0.939, 0.879, 0.596], [0.623, 0.246, 0.734], [0.228, 0.456, 0.841], [0.517, 0.033, 0.882], [0.772, 0.544, 0.159], [0.483, 0.967, 0.118], [0.129, 0.258, 0.067], [0.871, 0.742, 0.933]],
  "final_energy_ev_per_fu": -26.2,
  "vol_a3_per_fu": 156.7
}

***

(4)
{
  "formula": "DyTmGa",
  "functional": "PBE",
  "state": "optimized geometry",
  "lattice": [[3.972, 0.000, 0.000], [0.000, 3.972, 0.000], [-1.986, -1.986, 11.576]],
  "species": ["Tm", "Tm", "Dy", "Dy", "Ga", "Ga"],
  "frac_coords": [[0.329, 0.329, 0.658], [0.671, 0.671, 0.342], [0.078, 0.078, 0.157], [0.922, 0.922, 0.843], [0.798, 0.798, 0.596], [0.202, 0.202, 0.404]],
  "final_energy_ev_per_fu": -12.0,
  "vol_a3_per_fu": 91.3
}

***

(5)
{
  "formula": "DyTmGa2",
  "functional": "PBE",
  "state": "optimized geometry",
  "lattice": [[-1.166, 0.564, -3.303], [-0.070, -3.501, -0.573], [-6.698, -0.246, 2.323]],
  "species": ["Dy", "Tm", "Ga", "Ga"],
  "frac_coords": [[0.500, 0.500, 0.000], [0.500, 0.500, 0.500], [0.000, 0.000, 0.255], [0.000, 0.000, 0.745]],
  "final_energy_ev_per_fu": -17.4,
  "vol_a3_per_fu": 89.3
}

***

(6)
{
  "formula": "DyTmGa2",
  "functional": "PBE",
  "state": "optimized geometry",
  "lattice": [[3.610, 0.000, 0.000], [1.805, 3.126, 0.000], [1.805, 1.042, 8.671]],
  "species": ["Ga", "Ga", "Dy", "Tm"],
  "frac_coords": [[0.251, 0.251, 0.247], [0.749, 0.749, 0.753], [0.500, 0.500, 0.500], [0.000, 0.000, 0.000]],
  "final_energy_ev_per_fu": -16.8,
  "vol_a3_per_fu": 97.9
}

***

(7)
{
  "formula": "DyTm2Ga6",
  "functional": "PBE",
  "state": "optimized geometry",
  "lattice": [[4.271, 0.000, 0.000], [0.000, 6.920, 0.000], [-2.135, -3.460, 6.626]],
  "species": ["Dy", "Ga", "Ga", "Ga", "Ga", "Ga", "Ga", "Tm", "Tm"],
  "frac_coords": [[0.000, 0.500, 0.000], [0.500, 0.189, 0.000], [0.314, 0.120, 0.628], [0.314, 0.508, 0.628], [0.686, 0.880, 0.372], [0.500, 0.811, 0.000], [0.686, 0.492, 0.372], [0.876, 0.876, 0.751], [0.124, 0.124, 0.249]],
  "final_energy_ev_per_fu": -35.9,
  "vol_a3_per_fu": 195.8
}

***

(8)
{
  "formula": "Dy3TmGa2",
  "functional": "PBE",
  "state": "optimized geometry",
  "lattice": [[-2.501, 0.023, -4.263], [-2.530, -5.835, 1.454], [-7.261, 4.215, 4.283]],
  "species": ["Dy", "Dy", "Dy", "Dy", "Dy", "Dy", "Ga", "Ga", "Ga", "Ga", "Tm", "Tm"],
  "frac_coords": [[0.000, 0.967, 0.047], [0.000, 0.467, 0.953], [0.500, 0.677, 0.181], [0.000, 0.823, 0.676], [0.500, 0.177, 0.819], [0.000, 0.323, 0.324], [0.000, 0.793, 0.358], [0.500, 0.708, 0.858], [0.000, 0.293, 0.642], [0.500, 0.208, 0.142], [0.500, 0.032, 0.451], [0.500, 0.532, 0.549]],
  "final_energy_ev_per_fu": -26.9,
  "vol_a3_per_fu": 152.0
}

***

(9)
{
  "formula": "Dy12Tm5Ga3",
  "functional": "PBE",
  "state": "optimized geometry",
  "lattice": [[-0.638, -5.452, 14.573], [14.868, 2.210, -4.069], [-7.672, 13.526, -0.822]],
  "species": ["Ga", "Ga", "Ga", "Ga", "Ga", "Ga", "Ga", "Ga", "Ga", "Ga", "Ga", "Ga", "Dy", "Dy", "Dy", "Dy", "Dy", "Dy", "Dy", "Dy", "Dy", "Dy", "Dy", "Dy", "Dy", "Dy", "Dy", "Dy", "Dy", "Dy", "Dy", "Dy", "Dy", "Dy", "Dy", "Dy", "Dy", "Dy", "Dy", "Dy", "Dy", "Dy", "Dy", "Dy", "Dy", "Dy", "Dy", "Dy", "Dy", "Dy", "Dy", "Dy", "Dy", "Dy", "Dy", "Dy", "Dy", "Dy", "Dy", "Dy", "Tm", "Tm", "Tm", "Tm", "Tm", "Tm", "Tm", "Tm", "Tm", "Tm", "Tm", "Tm", "Tm", "Tm", "Tm", "Tm", "Tm", "Tm", "Tm", "Tm"],
  "frac_coords": [[0.750, 0.375, 0.125], [0.625, 0.375, 0.750], [0.125, 0.250, 0.875], [0.625, 0.250, 0.375], [0.125, 0.875, 0.750], [0.875, 0.750, 0.125], [0.875, 0.125, 0.250], [0.750, 0.875, 0.625], [0.250, 0.125, 0.375], [0.375, 0.750, 0.625], [0.250, 0.625, 0.875], [0.375, 0.625, 0.250], [0.441, 0.360, 0.596], [0.096, 0.941, 0.360], [0.581, 0.344, 0.941], [0.736, 0.596, 0.156], [0.640, 0.559, 0.904], [0.236, 0.656, 0.096], [0.764, 0.344, 0.904], [0.581, 0.236, 0.140], [0.860, 0.264, 0.419], [0.559, 0.640, 0.404], [0.656, 0.236, 0.596], [0.081, 0.441, 0.844], [0.736, 0.140, 0.081], [0.140, 0.736, 0.581], [0.764, 0.419, 0.360], [0.419, 0.764, 0.860], [0.904, 0.844, 0.764], [0.919, 0.360, 0.264], [0.344, 0.764, 0.404], [0.596, 0.736, 0.656], [0.919, 0.559, 0.156], [0.404, 0.140, 0.559], [0.059, 0.156, 0.419], [0.941, 0.096, 0.860], [0.941, 0.844, 0.581], [0.656, 0.419, 0.559], [0.441, 0.081, 0.344], [0.156, 0.059, 0.919], [0.640, 0.081, 0.236], [0.360, 0.441, 0.096], [0.081, 0.640, 0.736], [0.404, 0.264, 0.344], [0.264, 0.404, 0.844], [0.236, 0.581, 0.640], [0.419, 0.656, 0.059], [0.059, 0.904, 0.140], [0.559, 0.919, 0.656], [0.360, 0.919, 0.764], [0.844, 0.941, 0.081], [0.096, 0.156, 0.236], [0.344, 0.581, 0.441], [0.156, 0.096, 0.736], [0.264, 0.860, 0.919], [0.844, 0.904, 0.264], [0.860, 0.596, 0.941], [0.140, 0.404, 0.059], [0.904, 0.059, 0.640], [0.596, 0.860, 0.441], [0.375, 0.125, 0.750], [0.875, 0.250, 0.625], [0.000, 0.000, 0.000], [0.000, 0.500, 0.000], [0.500, 0.000, 0.500], [0.750, 0.125, 0.875], [0.750, 0.625, 0.375], [0.625, 0.875, 0.250], [0.125, 0.750, 0.375], [0.375, 0.250, 0.125], [0.125, 0.375, 0.250], [0.500, 0.500, 0.000], [0.500, 0.500, 0.500], [0.500, 0.000, 0.000], [0.250, 0.875, 0.125], [0.625, 0.750, 0.875], [0.250, 0.375, 0.625], [0.000, 0.500, 0.500], [0.000, 0.000, 0.500], [0.875, 0.625, 0.750]],
  "final_energy_ev_per_fu": -71.2,
  "vol_a3_per_fu": 726.7
}

***

(10)
{
  "formula": "Dy3TmGa",
  "functional": "PBE",
  "state": "optimized geometry",
  "lattice": [[7.361, 0.000, -0.290], [-2.014, 7.080, 0.290], [-3.197, -3.145, 5.900]],
  "species": ["Dy", "Dy", "Dy", "Dy", "Dy", "Dy", "Tm", "Tm", "Ga", "Ga"],
  "frac_coords": [[0.158, 0.973, 0.748], [0.275, 0.555, 0.830], [0.842, 0.027, 0.252], [0.774, 0.590, 0.748], [0.226, 0.410, 0.252], [0.725, 0.445, 0.170], [0.299, 0.933, 0.232], [0.701, 0.067, 0.768], [0.370, 0.244, 0.614], [0.630, 0.756, 0.386]],
  "final_energy_ev_per_fu": -21.6,
  "vol_a3_per_fu": 152.9
}

***

(11)
{
  "formula": "DyTmGa",
  "functional": "PBE",
  "state": "optimized geometry",
  "lattice": [[-0.312, -3.473, -1.021], [4.763, 0.133, -1.906], [3.101, -0.642, 7.699]],
  "species": ["Ga", "Ga", "Dy", "Dy", "Tm", "Tm"],
  "frac_coords": [[0.508, 0.526, 0.703], [0.352, 0.025, 0.390], [0.007, 0.026, 0.702], [0.853, 0.525, 0.391], [0.706, 0.025, 0.099], [0.154, 0.525, 0.994]],
  "final_energy_ev_per_fu": -13.3,
  "vol_a3_per_fu": 75.8
}

***

(12)
{
  "formula": "DyTm3Ga4",
  "functional": "PBE",
  "state": "optimized geometry",
  "lattice": [[-2.720, -1.847, 3.781], [2.417, -6.465, -1.419], [7.681, 1.498, 6.258]],
  "species": ["Tm", "Tm", "Tm", "Tm", "Tm", "Tm", "Ga", "Ga", "Ga", "Ga", "Ga", "Ga", "Ga", "Ga", "Dy", "Dy"],
  "frac_coords": [[0.503, 0.000, 0.750], [0.000, 0.000, 0.500], [0.498, 0.500, 0.250], [0.497, 0.000, 0.250], [0.502, 0.500, 0.750], [0.000, 0.000, 0.000], [0.500, 0.753, 0.500], [0.500, 0.247, 0.500], [0.500, 0.247, 0.000], [0.500, 0.753, 0.000], [0.003, 0.247, 0.750], [0.003, 0.753, 0.750], [0.997, 0.753, 0.250], [0.997, 0.247, 0.250], [0.000, 0.500, 0.000], [0.000, 0.500, 0.500]],
  "final_energy_ev_per_fu": -34.7,
  "vol_a3_per_fu": 176.9
}